FeIr3 | PBE | optimized geometry

a b c (Å): 8.8784 8.8784 8.8784
angles (deg): 17.61 17.61 17.61
Fractional positions:
Fe 0.0000 0.0000 0.0000
Ir 0.2532 0.2532 0.2532
Ir 0.5000 0.5000 0.5000
Ir 0.7468 0.7468 0.7468

Calculated values
Symmetry: No. 166
Calculated density: 18.8 g/cm3
Total energy: -8.7874 eV per atom
Crystal system: trigonal
Magnetization: 2.512 μB per formula unit